# LaTa2Ir

An optimized crystal structure of LaTa2Ir (PBE-GGA, Alexandria).

Cell: 2.9605 2.9605 9.2508 Å, 90.00 90.00 90.00°
Last column: nearest neighbours and their distance in Å.
Space group P4/mmm (No. 123)
One atom of each set of equivalent atoms:
La 0.0000 0.0000 0.0000 x1  4 La 2.96
Ta 0.5000 0.5000 0.3006 x2  4 Ir 2.79, 4 Ta 2.96
Ir 0.0000 0.0000 0.5000 x1  8 Ta 2.79, 4 Ir 2.96

Computed properties:
For the total moment, the calculation gives 0.00 μB/f.u. The calculated total energy is -9.296 eV per atom. Its distance to the lowest polymorph of the same formula is 162.2 meV per atom. The calculation puts the calculated formation energy at 1.79 kcal/mol of atoms. The value obtained for the volume is 81 Å³/cell.

# La2TaIr

An optimized crystal structure of La2TaIr (PBE-GGA, Alexandria).

Cell: 7.3225 7.3225 7.3225 Å, 90.00 90.00 90.00°
Last column: nearest neighbours and their distance in Å.
Space group Fm-3m (No. 225)
One atom of each set of equivalent atoms:
La 0.2500 0.2500 0.2500 x8  4 Ta 3.17, 4 Ir 3.17
Ta 0.0000 0.0000 0.0000 x4  8 La 3.17
Ir 0.0000 0.0000 0.5000 x4  8 La 3.17

Computed properties:
For the total moment, the calculation gives 1.88 μB/f.u. The calculated total energy is -7.352 eV per atom. Its distance to the lowest polymorph of the same formula is 464.7 meV per atom. The calculation puts the calculated formation energy at 6.70 kcal/mol of atoms. The value obtained for the volume is 393 Å³/cell.

# La2TaIr

An optimized crystal structure of La2TaIr (PBE-GGA, Alexandria).

Cell: 4.2592 4.2592 10.4037 Å, 90.00 90.00 90.00°
Last column: nearest neighbours and their distance in Å.
Space group I-4m2 (No. 119)
One atom of each set of equivalent atoms:
La 0.0000 0.0000 0.0000 x2  4 Ir 3.01, 4 Ta 3.36, 4 La 3.36
La 0.0000 0.5000 0.2500 x2  4 Ta 3.01, 4 Ir 3.36, 4 La 3.36
Ta 0.0000 0.5000 0.7500 x2  8 La 3.01-3.36, 4 Ir 3.36
Ir 0.0000 0.0000 0.5000 x2  8 La 3.01-3.36, 4 Ta 3.36

Computed properties:
For the total moment, the calculation gives 0.00 μB/f.u. The calculated total energy is -7.384 eV per atom. Its distance to the lowest polymorph of the same formula is 432.3 meV per atom. The calculation puts the calculated formation energy at 5.95 kcal/mol of atoms. The value obtained for the volume is 189 Å³/cell.

# La2TaIr

An optimized crystal structure of La2TaIr (PBE-GGA, Alexandria).

Cell: 8.2321 8.2321 5.9930 Å, 90.00 90.00 90.00°
Last column: nearest neighbours and their distance in Å.
Space group I-42d (No. 122)
One atom of each set of equivalent atoms:
La 0.2114 0.2500 0.1250 x8  2 Ir 2.80, 2 La 3.06
Ta 0.0000 0.0000 0.5000 x4  2 Ir 3.00, 4 La 3.23
Ir 0.0000 0.0000 0.0000 x4  4 La 2.80, 2 Ta 3.00

Computed properties:
For the total moment, the calculation gives 0.00 μB/f.u. The calculated total energy is -7.272 eV per atom. Its distance to the lowest polymorph of the same formula is 544.2 meV per atom. The calculation puts the calculated formation energy at 8.53 kcal/mol of atoms. The value obtained for the volume is 406 Å³/cell.

# LaTaIr

An optimized crystal structure of LaTaIr (PBE-GGA, Alexandria).

Cell: 4.5719 4.5719 6.8685 Å, 90.00 90.00 90.00°
Last column: nearest neighbours and their distance in Å.
Space group P4/nmm (No. 129, origin choice 2)
One atom of each set of equivalent atoms:
La 0.2500 0.2500 0.1271 x2  1 Ir 3.06
Ta 0.2500 0.7500 0.5000 x2  4 Ir 2.60
Ir 0.2500 0.2500 0.6811 x2  4 Ta 2.60

Computed properties:
For the total moment, the calculation gives 0.00 μB/f.u. The calculated total energy is -9.054 eV per atom. Its distance to the lowest polymorph of the same formula is 0.0 meV per atom. The calculation puts the calculated formation energy at -11.69 kcal/mol of atoms. The value obtained for the volume is 144 Å³/cell.

# LaTaIr2

An optimized crystal structure of LaTaIr2 (PBE-GGA, Alexandria).

Cell: 7.4556 7.4556 6.1704 Å, 90.00 90.00 90.00°
Last column: nearest neighbours and their distance in Å.
Space group I-42d (No. 122)
One atom of each set of equivalent atoms:
La 0.0000 0.0000 0.0000 x4  4 Ir 2.97, 2 Ta 3.09
Ta 0.0000 0.0000 0.5000 x4  4 Ir 2.54
Ir 0.2072 0.2500 0.6250 x8  2 Ta 2.54

Computed properties:
For the total moment, the calculation gives 0.00 μB/f.u. The calculated total energy is -8.708 eV per atom. Its distance to the lowest polymorph of the same formula is 477.0 meV per atom. The calculation puts the calculated formation energy at -1.90 kcal/mol of atoms. The value obtained for the volume is 343 Å³/cell.